# 1
A relaxed LiAlMo2O8 crystal. Source: the Alexandria database, functional PBE+U. Values from VASP.

Geometry as Quantum ESPRESSO input:
```
&SYSTEM
  ibrav = 0, nat = 24, ntyp = 4
/
ATOMIC_SPECIES
Li 6.94 Li.upf
Al 26.98 Al.upf
Mo 95.94 Mo.upf
O 16.00 O.upf
ATOMIC_POSITIONS angstrom
Li 3.261 3.610 1.719
Li -1.008 2.445 5.097
Al -1.529 6.060 1.196
Al 3.782 -0.005 5.620
Mo 2.473 3.324 5.409
Mo -0.219 2.730 1.407
Mo -1.486 6.082 4.848
Mo 3.739 -0.028 1.968
O 3.283 5.797 1.499
O -1.029 0.258 5.317
O 2.311 5.103 6.082
O -0.058 0.952 0.734
O 0.882 2.658 5.652
O 1.371 3.397 1.164
O -0.362 2.523 3.128
O 2.616 3.531 3.688
O 3.578 -0.173 3.752
O -1.324 6.228 3.065
O 4.083 1.673 1.625
O -1.830 4.382 5.191
O -1.407 4.178 1.022
O 3.660 1.877 5.794
O 0.369 6.366 1.116
O 1.884 -0.311 5.700
CELL_PARAMETERS angstrom
6.725 -0.005 0.000
-1.851 6.891 -0.001
-2.621 -0.832 6.817
```

Crystal system ... triclinic

***

# 2
A relaxed LiAl2MoO6 crystal. Source: the Alexandria database, functional PBE+U. Values from VASP.

Geometry as Quantum ESPRESSO input:
```
&SYSTEM
  ibrav = 0, nat = 20, ntyp = 4
/
ATOMIC_SPECIES
Li 6.94 Li.upf
Al 26.98 Al.upf
Mo 95.94 Mo.upf
O 16.00 O.upf
ATOMIC_POSITIONS angstrom
Li 2.584 5.935 0.546
Li 5.138 0.181 5.801
Al 2.760 4.952 4.011
Al 2.407 2.436 1.399
Al 4.961 1.163 2.335
Al 5.314 3.680 4.947
Mo 2.584 1.515 4.805
Mo 5.138 4.601 1.542
O 3.016 6.273 5.161
O 2.152 1.336 0.038
O 4.706 -0.157 1.186
O 5.570 4.780 6.309
O 3.639 5.237 2.490
O 1.528 3.966 1.171
O 4.082 0.879 3.857
O 6.193 2.149 5.175
O 6.119 4.381 3.505
O 4.156 2.631 1.688
O 1.602 1.734 2.842
O 3.565 3.485 4.658
CELL_PARAMETERS angstrom
5.108 -0.290 -0.301
1.307 6.523 0.124
1.307 -0.118 6.523
```

Crystal system ... monoclinic

***

# 3
A relaxed Rb3Li2AlMo4O16 crystal. Source: the Alexandria database, functional PBE+U. Values from VASP.

Geometry as Quantum ESPRESSO input:
```
&SYSTEM
  ibrav = 0, nat = 52, ntyp = 5
/
ATOMIC_SPECIES
Rb 85.47 Rb.upf
Li 6.94 Li.upf
Al 26.98 Al.upf
Mo 95.94 Mo.upf
O 16.00 O.upf
ATOMIC_POSITIONS angstrom
Rb 1.567 8.173 0.926
Rb 3.655 -0.700 7.720
Rb -1.629 -0.715 5.249
Rb 3.370 3.206 3.397
Rb -1.803 4.967 4.323
Rb 0.000 0.000 0.000
Li -5.331 5.578 5.404
Li -0.016 1.865 3.242
Li -1.819 6.831 1.081
Li -0.047 5.593 7.565
Al 5.284 0.015 4.323
Al 3.481 4.982 0.000
Mo 5.374 6.963 2.114
Mo 1.210 2.459 6.532
Mo 0.197 3.972 0.416
Mo 2.000 -0.994 3.907
Mo 0.182 -3.431 8.229
Mo 1.860 6.517 4.739
Mo -4.074 2.444 6.437
Mo 7.177 1.996 2.209
O -4.595 3.773 5.372
O -1.965 1.935 3.274
O -1.186 7.681 2.719
O 0.617 2.714 1.604
O 0.533 6.480 5.927
O -1.145 -3.469 7.041
O 6.800 6.931 1.049
O 0.689 3.787 7.597
O 5.828 6.535 3.784
O 0.651 2.738 4.862
O -1.120 5.003 1.034
O 0.683 0.036 3.289
O 1.602 -4.313 7.612
O 3.280 5.636 5.357
O -4.633 2.723 8.107
O 7.631 1.568 0.539
O 2.966 2.462 6.484
O 4.773 8.614 2.162
O 3.124 0.697 1.022
O 1.321 5.664 3.301
O -3.901 -1.809 7.624
O 1.383 -1.794 5.345
O 6.576 3.647 2.161
O -2.318 2.447 6.484
O 4.008 5.852 1.441
O 0.636 0.794 7.205
O -1.763 -0.007 8.579
O 3.521 0.008 4.390
O 4.081 3.324 0.067
O 5.884 -1.643 4.256
O 5.920 0.809 5.764
O 5.811 0.885 2.882
CELL_PARAMETERS angstrom
10.568 0.030 0.000
-3.606 9.934 0.000
-3.481 -4.982 8.646
```

Crystal system ... tetragonal

***

| no. | density of states at the Fermi level (states/eV/f.u.) | E (eV/f.u.) |
| --- | --- | --- |
| 1 | 0.0 | -83.23 |
| 2 | 0.0 | -70.10 |
| 3 | 0.0 | -168.93 |